# 1
A plane-wave DFT calculation with meta-GGA SCAN was carried out for a PBEsol-optimized structure of MnNbIN2.

The structure in extended XYZ format:
```
5
Lattice="4.025 0.000 0.000 0.000 4.025 0.000 0.000 0.000 5.695" Properties=species:S:1:pos:R:3 pbc="T T T"
Mn 2.013 2.013 2.848
I 0.000 0.000 2.848
N 2.013 0.000 0.000
N 0.000 2.013 0.000
Nb 0.000 0.000 0.000
```

Formation energy (no corrections) ... 395 meV/atom
Density of states at the Fermi level ... 0.389 states/eV per atom
DFT total energy ... -104.7 eV/f.u.
Volume ... 92 Å³/f.u.

---

# 2
A plane-wave DFT calculation with meta-GGA SCAN was carried out for a PBEsol-optimized structure of BaNb2V2O11.

The structure in extended XYZ format:
```
16
Lattice="5.574 0.000 0.000 2.787 4.828 0.000 2.787 1.609 9.424" Properties=species:S:1:pos:R:3 pbc="T T T"
O 5.574 1.563 2.325
O 5.574 4.874 7.099
O 4.181 0.805 4.712
O 2.787 3.218 4.712
O 7.008 2.391 7.099
O 4.141 4.046 2.325
O 5.574 3.218 0.160
O 7.008 4.046 2.325
O 5.574 3.218 9.264
O 4.141 2.391 7.099
O 1.394 0.805 4.712
V 5.574 3.218 7.616
V 5.574 3.218 1.808
Ba 0.000 0.000 0.000
Nb 2.787 1.609 5.751
Nb 8.362 4.828 3.673
```

Formation energy (no corrections) ... -2809 meV/atom
Density of states at the Fermi level ... 0.000 states/eV per atom
DFT total energy ... -254.3 eV/f.u.
Volume ... 254 Å³/f.u.

---

# 3
A plane-wave DFT calculation with meta-GGA SCAN was carried out for a PBEsol-optimized structure of Li2CuRh.

The structure in extended XYZ format:
```
4
Lattice="-0.559 2.335 -0.862 -4.166 -0.971 0.074 -0.219 1.276 4.403" Properties=species:S:1:pos:R:3 pbc="T T T"
Li -0.607 2.806 2.665
Li -0.172 0.805 0.875
Cu -2.193 0.153 2.238
Rh -2.363 0.682 -0.394
```

Density of states at the Fermi level ... 0.406 states/eV per atom
DFT total energy ... -54.2 eV/f.u.
Volume ... 50 Å³/f.u.
Energy of formation from the pure elements ... -0.5 eV/f.u.
Offset from the most stable computed form ... 7 kJ/mol of formula units

---

# 4
A plane-wave DFT calculation with meta-GGA SCAN was carried out for a PBEsol-optimized structure of AuCClO.

The structure in extended XYZ format:
```
8
Lattice="-4.160 -0.764 -0.229 0.824 -3.453 -3.433 2.829 -5.531 6.242" Properties=species:S:1:pos:R:3 pbc="T T T"
C 0.809 -4.103 -1.007
C -1.317 -5.646 3.586
Cl -1.680 -2.779 0.617
Cl 1.172 -6.969 1.963
Au 0.975 -5.414 0.351
Au -1.483 -4.334 2.228
O 0.709 -3.311 -1.827
O -1.216 -6.437 4.407
```

Formation energy (no corrections) ... -485 meV/atom
Density of states at the Fermi level ... 0.000 states/eV per atom
DFT total energy ... -95.4 eV/f.u.
Volume ... 89 Å³/f.u.